Record 1
DFT (PBE) results for MgTaSi2 after structural relaxation.

POSCAR file:
```
MgTaSi2
1.0
5.144 -0.009 0.000
2.386 4.557 0.000
-3.765 -2.274 2.667
Mg Si Ta
1 2 1
Direct
0.750 0.250 0.500 Mg
0.000 0.000 0.000 Si
0.250 0.750 0.500 Si
0.500 0.500 0.000 Ta
```

Output
energy	-24.55	eV per formula unit
formation energy (no corrections)	-0.25	eV per formula unit

Record 2
DFT (PBE) results for Zr4SiW after structural relaxation.

POSCAR file:
```
Zr4SiW
1.0
0.000 3.943 3.943
3.943 0.000 3.943
3.943 3.943 0.000
Zr Si W
4 1 1
Direct
0.880 0.373 0.373 Zr
0.373 0.373 0.880 Zr
0.373 0.880 0.373 Zr
0.373 0.373 0.373 Zr
0.750 0.750 0.750 Si
0.000 0.000 0.000 W
```

Output
energy	-48.67	eV per formula unit
formation energy (no corrections)	3.90	eV per formula unit

Record 3
DFT (PBE) results for KFeI3 after structural relaxation.

POSCAR file:
```
KFeI3
1.0
-5.829 5.541 -0.898
-1.830 -2.883 -5.911
-8.769 -8.141 6.687
K Fe I
4 4 12
Direct
0.750 0.786 0.606 K
0.250 0.214 0.394 K
0.750 0.286 0.894 K
0.250 0.714 0.106 K
0.750 0.399 0.249 Fe
0.250 0.601 0.751 Fe
0.750 0.899 0.251 Fe
0.250 0.101 0.749 Fe
0.250 0.856 0.585 I
0.750 0.144 0.415 I
0.250 0.356 0.915 I
0.750 0.644 0.085 I
0.009 0.856 0.834 I
0.509 0.144 0.166 I
0.491 0.356 0.666 I
0.991 0.644 0.334 I
0.991 0.144 0.166 I
0.491 0.856 0.834 I
0.509 0.644 0.334 I
0.009 0.356 0.666 I
```

Output
energy	-17.21	eV per formula unit
energy above the most stable polymorph in this dataset	0.00	eV per formula unit
formation energy (no corrections)	-3.00	eV per formula unit

Record 4
DFT (PBE) results for Rb3HgO after structural relaxation.

POSCAR file:
```
Rb3HgO
1.0
11.127 0.000 0.007
0.000 4.423 0.000
0.007 0.000 7.357
Rb Hg O
6 2 2
Direct
0.676 0.476 0.201 Rb
0.205 0.476 0.947 Rb
0.442 0.976 0.448 Rb
0.971 0.976 0.701 Rb
0.442 0.976 0.954 Rb
0.205 0.476 0.454 Rb
0.697 0.474 0.700 Hg
0.950 0.974 0.201 Hg
0.226 0.976 0.701 O
0.421 0.476 0.201 O
```

Output
energy	-11.13	eV per formula unit
energy above the most stable polymorph in this dataset	0.00	eV per formula unit
formation energy (no corrections)	-2.97	eV per formula unit

Record 5
DFT (PBE) results for Ac2La3Sm5 after structural relaxation.

POSCAR file:
```
Ac2La3Sm5
1.0
-6.478 7.976 -4.512
-10.357 0.586 2.918
10.167 0.149 6.116
Ac La Sm
4 6 10
Direct
0.792 0.007 0.746 Ac
0.208 0.993 0.254 Ac
0.453 0.738 0.746 Ac
0.547 0.262 0.254 Ac
0.232 0.982 0.964 La
0.768 0.018 0.036 La
0.729 0.468 0.259 La
0.271 0.532 0.741 La
0.029 0.791 0.259 La
0.971 0.209 0.741 La
0.260 0.510 0.021 Sm
0.740 0.490 0.979 Sm
0.999 0.749 0.497 Sm
0.518 0.268 0.537 Sm
0.001 0.251 0.503 Sm
0.482 0.732 0.463 Sm
0.840 0.595 0.756 Sm
0.160 0.405 0.244 Sm
0.416 0.161 0.756 Sm
0.584 0.839 0.244 Sm
```

Output
energy	-44.68	eV per formula unit
formation enthalpy at 0 K	185	kJ/mol of formula units

Record 6
DFT (PBE) results for BaMn2Tc after structural relaxation.

POSCAR file:
```
BaMn2Tc
1.0
-2.015 0.867 -2.286
-3.740 -0.016 3.292
0.890 4.793 1.033
Ba Mn Tc
1 2 1
Direct
0.500 0.000 0.500 Ba
0.000 0.000 0.000 Mn
0.000 0.500 0.500 Mn
0.500 0.500 0.000 Tc
```

Output
energy	-26.07	eV per formula unit
formation enthalpy at 0 K	440	kJ/mol of formula units
energy above the most stable polymorph in this dataset	2.64	eV per formula unit